Here is a geometry-optimized PmSm4Si4 structure from Alexandria via LeMat-Bulk. Energies are from PBE.

Summary:
The calculation puts the total moment at 0.0 μB per formula unit. The density of states at the Fermi level comes out at 19.9 states/eV/cell. As for the calculated density: 5.84 g/cm3. As for the formation energy without anion corrections: -0.45 eV/atom.

Cell and atoms, written as CIF:
```
data_PmSm4Si4
_cell_length_a 9.081
_cell_length_b 9.081
_cell_length_c 5.926
_cell_angle_alpha 90.00
_cell_angle_beta 90.00
_cell_angle_gamma 90.00
_space_group_name_H-M_alt 'P 42/n'
_space_group_IT_number 86
loop_
_space_group_symop_operation_xyz
'x,y,z'
'-x,-y,-z'
'-y,x+1/2,z+1/2'
'y,-x+1/2,-z+1/2'
'-x+1/2,-y+1/2,z'
'x+1/2,y+1/2,-z'
'y+1/2,-x,z+1/2'
'-y+1/2,x,-z+1/2'
loop_
_atom_site_label
_atom_site_fract_x
_atom_site_fract_y
_atom_site_fract_z
Pm1 0.250 0.250 0.250
Sm1 0.064 0.665 0.121
Si1 0.019 0.614 0.612
```